Here is crystalline RbMnVO4 at its relaxed geometry from Alexandria via LeMat-Bulk. Energies are from GGA+U.

a b c (Å): 11.493 11.493 9.196
angles (deg): 90.00 90.00 120.00
Element x y z (fractional)
Rb: 0.000 0.000 0.000
Rb: 0.000 0.000 0.500
Rb: 0.047 0.529 0.010
Rb: 0.471 0.518 0.010
Rb: 0.482 0.953 0.010
Rb: 0.518 0.047 0.510
Rb: 0.529 0.482 0.510
Rb: 0.953 0.471 0.510
Mn: 0.164 0.329 0.315
Mn: 0.166 0.836 0.315
Mn: 0.329 0.166 0.815
Mn: 0.333 0.667 0.677
Mn: 0.667 0.333 0.177
Mn: 0.671 0.834 0.315
Mn: 0.834 0.164 0.815
Mn: 0.836 0.671 0.815
V: 0.159 0.332 0.707
V: 0.174 0.841 0.707
V: 0.332 0.174 0.207
V: 0.333 0.667 0.268
V: 0.667 0.333 0.768
V: 0.668 0.826 0.707
V: 0.826 0.159 0.207
V: 0.841 0.668 0.207
O: 0.013 0.820 0.734
O: 0.028 0.318 0.817
O: 0.112 0.332 0.527
O: 0.177 0.693 0.745
O: 0.180 0.194 0.734
O: 0.194 0.013 0.234
O: 0.221 0.888 0.527
O: 0.232 0.504 0.201
O: 0.271 0.768 0.201
O: 0.290 0.972 0.817
O: 0.307 0.484 0.745
O: 0.318 0.290 0.317
O: 0.332 0.221 0.027
O: 0.333 0.667 0.456
O: 0.484 0.177 0.245
O: 0.496 0.729 0.201
O: 0.504 0.271 0.701
O: 0.516 0.823 0.745
O: 0.667 0.333 0.956
O: 0.668 0.779 0.527
O: 0.682 0.710 0.817
O: 0.693 0.516 0.245
O: 0.710 0.028 0.317
O: 0.729 0.232 0.701
O: 0.768 0.496 0.701
O: 0.779 0.112 0.027
O: 0.806 0.987 0.734
O: 0.820 0.806 0.234
O: 0.823 0.307 0.245
O: 0.888 0.668 0.027
O: 0.972 0.682 0.317
O: 0.987 0.180 0.234

Calculated values
DOS(E_F), states/eV/atom: 0.00
Theoretical density, g cm⁻³: 3.2
V, Å³ per cell: 1051.9
E_tot, eV for the cell shown: -394.731
Energy relative to the lowest polymorph listed for this composition, meV per atom: 0
Total magnetization, Bohr magnetons per cell: 40.00